# 1
Computed, not measured: crystalline CaPm6Pr3Tm2 at its relaxed geometry at the PBE level of DFT.

Its total magnetization is 0.0000 μB per atom. The calculation puts the formation enthalpy at 0 K at 0.045 eV/atom.

a = 6.3565 Å, b = 11.0115 Å, c = 12.0252 Å
α = 90.00°, β = 100.10°, γ = 90.00°
Last column: nearest neighbours and their distance in Å.
Space group C2/m (No. 12)
Unique sites:
Ca  0.0000  0.0000  0.0000 x2  6 Pm 3.64, 6 Tm 3.67
Pm  0.2417  0.5000  0.2472 x4  2 Tm 3.60, 6 Pm 3.63-3.76, 3 Pr 3.64-3.68, 1 Ca 3.64
Pm  0.2459  0.3292  0.7531 x8  2 Tm 3.59-3.60, 6 Pm 3.62-3.76, 3 Pr 3.64-3.69, 1 Ca 3.64
Pr  0.0000  0.1663  0.5000 x4  6 Pm 3.64-3.69, 6 Pr 3.66-3.68
Pr  0.0000  0.5000  0.5000 x2  6 Pm 3.64-3.68, 6 Pr 3.67-3.68
Tm  0.0000  0.3334  0.0000 x4  6 Pm 3.59-3.60, 3 Ca 3.67, 3 Tm 3.67



# 2
Computed, not measured: crystalline CaPm2Pr6Tm at its relaxed geometry at the PBE level of DFT.

Its total magnetization is 0.0000 μB per atom. The calculation puts the formation enthalpy at 0 K at 0.114 eV/atom.

a = 9.4196 Å, b = 15.6435 Å, c = 9.8412 Å
α = 90.00°, β = 96.35°, γ = 90.00°
Last column: nearest neighbours and their distance in Å.
Space group C2/c (No. 15)
Unique sites:
Ca  0.0000  0.0252  0.2500 x4  4 Pm 3.51-3.58, 4 Pr 3.75-3.87
Pm  0.2467  0.4459  0.4546 x8  6 Pr 3.32-3.70, 2 Ca 3.51-3.58, 1 Tm 3.68
Pr  0.0583  0.1887  0.9450 x8  7 Pr 3.55-3.87, 1 Pm 3.62, 1 Ca 3.87, 1 Tm 3.96
Pr  0.1046  0.3947  0.1171 x8  3 Pm 3.32-3.53, 4 Pr 3.36-3.65, 2 Tm 3.51-3.65
Pr  0.2129  0.2268  0.3144 x8  5 Pr 3.36-3.76, 2 Pm 3.52-3.70, 1 Tm 3.55, 1 Ca 3.75
Tm  0.0000  0.4095  0.7500 x4  6 Pr 3.51-3.65, 2 Pm 3.68



# 3
Computed, not measured: crystalline CaPmPr6Tm2 at its relaxed geometry at the PBE level of DFT.

Its total magnetization is 0.0000 μB per atom. The calculation puts the formation enthalpy at 0 K at 0.120 eV/atom.

a = 9.4062 Å, b = 15.5173 Å, c = 9.8326 Å
α = 90.00°, β = 96.79°, γ = 90.00°
Last column: nearest neighbours and their distance in Å.
Space group C2/c (No. 15)
Unique sites:
Ca  0.0000  0.0287  0.2500 x4  4 Tm 3.49-3.54, 4 Pr 3.76-3.81
Pm  0.0000  0.4072  0.7500 x4  6 Pr 3.51-3.65, 2 Tm 3.67
Pr  0.0634  0.1821  0.9467 x8  7 Pr 3.51-3.91, 1 Tm 3.58, 2 Ca 3.81-3.92
Pr  0.0995  0.3937  0.1196 x8  4 Pr 3.30-3.70, 3 Tm 3.35-3.52, 2 Pm 3.51-3.65
Pr  0.2154  0.2317  0.3202 x8  3 Pr 3.30-3.62, 2 Tm 3.56-3.61, 1 Pm 3.57
Tm  0.2500  0.0519  0.5467 x8  6 Pr 3.35-3.61, 2 Ca 3.49-3.54, 1 Pm 3.67



# 4
Computed, not measured: crystalline CaPmPrY at its relaxed geometry at the PBE level of DFT.

Its total magnetization is 0.0000 μB per atom. The calculation puts the formation enthalpy at 0 K at 0.044 eV/atom. For the offset from the most stable computed form, the calculation gives 0 meV per atom.

a = 3.6748 Å, b = 3.6748 Å, c = 10.5962 Å
α = 90.00°, β = 90.00°, γ = 90.00°
Last column: nearest neighbours and their distance in Å.
Space group P4mm (No. 99)
Unique sites:
Ca  0.0000  0.0000  0.0000 x1  4 Ca 3.67, 4 Pm 3.80, 4 Pr 3.84
Pm  0.5000  0.5000  0.7380 x1  4 Y 3.58, 4 Pm 3.67, 4 Ca 3.80
Pr  0.5000  0.5000  0.2664 x1  4 Y 3.63, 4 Pr 3.67, 4 Ca 3.84
Y  0.0000  0.0000  0.5050 x1  4 Pm 3.58, 4 Pr 3.63, 4 Y 3.67



# 5
Computed, not measured: crystalline CaPm6Pr2Y3 at its relaxed geometry at the PBE level of DFT.

Its total magnetization is 0.0000 μB per atom. The calculation puts the formation enthalpy at 0 K at 0.027 eV/atom.

a = 6.3381 Å, b = 10.9798 Å, c = 12.0747 Å
α = 90.00°, β = 100.04°, γ = 90.00°
Last column: nearest neighbours and their distance in Å.
Space group C2/m (No. 12)
Unique sites:
Ca  0.0000  0.0000  0.0000 x2  6 Pr 3.66, 6 Pm 3.72
Pm  0.2452  0.3311  0.7442 x8  3 Y 3.58-3.60, 6 Pm 3.64-3.71, 2 Pr 3.69-3.70, 1 Ca 3.72
Pm  0.2485  0.5000  0.2565 x4  3 Y 3.57-3.59, 6 Pm 3.64-3.71, 2 Pr 3.71, 1 Ca 3.72
Pr  0.0000  0.3331  0.0000 x4  3 Pr 3.66-3.67, 3 Ca 3.66, 6 Pm 3.69-3.71
Y  0.0000  0.1659  0.5000 x4  6 Pm 3.58-3.60, 6 Y 3.64-3.67
Y  0.0000  0.5000  0.5000 x2  6 Pm 3.57-3.60, 6 Y 3.66-3.67



# 6
Computed, not measured: crystalline CaPm3Pr6Y2 at its relaxed geometry at the PBE level of DFT.

Its total magnetization is 0.0000 μB per atom. The calculation puts the formation enthalpy at 0 K at 0.028 eV/atom.

a = 6.4041 Å, b = 11.0959 Å, c = 12.1115 Å
α = 90.00°, β = 100.11°, γ = 90.00°
Last column: nearest neighbours and their distance in Å.
Space group C2/m (No. 12)
Unique sites:
Ca  0.0000  0.0000  0.0000 x2  6 Y 3.70, 6 Pr 3.70
Pm  0.0000  0.1666  0.5000 x4  6 Pr 3.64-3.68, 6 Pm 3.70
Pm  0.0000  0.5000  0.5000 x2  6 Pr 3.63-3.67, 6 Pm 3.70
Pr  0.2442  0.5000  0.2512 x4  3 Pm 3.63-3.67, 6 Pr 3.66-3.77, 2 Y 3.67, 1 Ca 3.70
Pr  0.2457  0.3299  0.7495 x8  3 Pm 3.64-3.68, 2 Y 3.65-3.66, 6 Pr 3.66-3.77, 1 Ca 3.70
Y  0.0000  0.3333  0.0000 x4  6 Pr 3.65-3.67, 3 Y 3.70, 3 Ca 3.70



# 7
Computed, not measured: crystalline Ca2PmPr2Y6 at its relaxed geometry at the PBE level of DFT.

Its total magnetization is 0.0001 μB per atom. The calculation puts the formation enthalpy at 0 K at 0.172 eV/atom.

a = 6.2197 Å, b = 10.8887 Å, c = 12.2532 Å
α = 90.00°, β = 101.30°, γ = 90.00°
Last column: nearest neighbours and their distance in Å.
Space group C2/m (No. 12)
Unique sites:
Ca  0.0000  0.1640  0.0000 x4  3 Ca 3.57-3.63, 6 Y 3.70-3.80
Pm  0.0000  0.0000  0.5000 x2  6 Y 3.54-3.59, 6 Pr 3.60-3.62
Pr  0.0000  0.3329  0.5000 x4  6 Y 3.55-3.60, 3 Pr 3.60-3.64, 3 Pm 3.60-3.62
Y  0.2420  0.0000  0.2611 x4  1 Pm 3.54, 2 Pr 3.55, 6 Y 3.59-3.64, 2 Ca 3.71
Y  0.2423  0.3341  0.2565 x8  6 Y 3.59-3.64, 1 Pm 3.59, 2 Pr 3.59-3.60, 2 Ca 3.70-3.80



# 8
Computed, not measured: crystalline CaPmPrY at its relaxed geometry at the PBE level of DFT.

Its total magnetization is 0.0000 μB per atom. The calculation puts the formation enthalpy at 0 K at 0.116 eV/atom. For the offset from the most stable computed form, the calculation gives 71 meV per atom.

a = 8.2968 Å, b = 8.2968 Å, c = 8.2968 Å
α = 90.00°, β = 90.00°, γ = 90.00°
Last column: nearest neighbours and their distance in Å.
Space group F-43m (No. 216)
Unique sites:
Ca  0.0000  0.0000  0.0000 x4  4 Pr 3.59, 4 Pm 3.59
Pm  0.2500  0.2500  0.7500 x4  4 Ca 3.59, 4 Y 3.59
Pr  0.2500  0.2500  0.2500 x4  4 Ca 3.59, 4 Y 3.59
Y  0.0000  0.0000  0.5000 x4  4 Pr 3.59, 4 Pm 3.59



# 9
Computed, not measured: crystalline CaPmPr5Y2 at its relaxed geometry at the PBE level of DFT.

Its total magnetization is 0.0000 μB per atom. The calculation puts the formation enthalpy at 0 K at 0.087 eV/atom.

a = 5.8993 Å, b = 17.6288 Å, c = 12.2383 Å
α = 90.00°, β = 90.00°, γ = 90.00°
Last column: nearest neighbours and their distance in Å.
Space group Cmc2_1 (No. 36)
Unique sites:
Ca  0.0000  0.1093  0.0000 x4  6 Pr 3.33-3.59, 2 Y 3.60
Pm  0.0000  0.2436  0.5000 x4  9 Pr 3.63-3.87, 3 Y 3.71-3.82, 2 Ca 3.93
Pr  0.0000  0.0623  0.3538 x4  3 Pr 3.38-3.62, 1 Ca 3.51, 2 Y 3.52, 1 Pm 3.66
Pr  0.0000  0.0649  0.6474 x4  3 Pr 3.38-3.59, 4 Y 3.55-3.76, 1 Ca 3.56, 1 Pm 3.63
Pr  0.0000  0.2353  0.7974 x4  3 Pr 3.20-3.52, 1 Ca 3.33
Pr  0.0000  0.2394  0.2034 x4  2 Pr 3.20, 1 Ca 3.39
Pr  0.0000  0.4210  0.6616 x4  2 Y 3.52-3.83, 2 Ca 3.59, 5 Pr 3.67-3.90, 1 Pm 3.70
Y  0.0000  0.3938  0.9979 x4  7 Pr 3.52-3.83, 1 Y 3.80, 2 Pm 3.82
Y  0.0000  0.4214  0.3376 x4  6 Pr 3.52-3.86, 2 Ca 3.60, 1 Pm 3.71, 1 Y 3.80



# 10
Computed, not measured: crystalline CaPm2Pr6Y3 at its relaxed geometry at the PBE level of DFT.

Its total magnetization is 0.0000 μB per atom. The calculation puts the formation enthalpy at 0 K at 0.021 eV/atom.

a = 6.3857 Å, b = 11.0613 Å, c = 12.0882 Å
α = 90.00°, β = 100.09°, γ = 90.00°
Last column: nearest neighbours and their distance in Å.
Space group C2/m (No. 12)
Unique sites:
Ca  0.0000  0.0000  0.0000 x2  6 Pm 3.68-3.69, 6 Pr 3.72
Pm  0.0000  0.3331  0.0000 x4  3 Pm 3.68-3.69, 3 Ca 3.68-3.69, 6 Pr 3.69-3.70
Pr  0.2450  0.3306  0.7456 x8  3 Y 3.60-3.63, 6 Pr 3.66-3.75, 2 Pm 3.69, 1 Ca 3.72
Pr  0.2468  0.5000  0.2551 x4  3 Y 3.59-3.62, 6 Pr 3.66-3.75, 2 Pm 3.70, 1 Ca 3.72
Y  0.0000  0.1662  0.5000 x4  6 Pr 3.60-3.63, 6 Y 3.68-3.69
Y  0.0000  0.5000  0.5000 x2  6 Pr 3.59-3.63, 6 Y 3.68-3.69



# 11
Computed, not measured: crystalline CaPmPt2 at its relaxed geometry at the PBE level of DFT.

Its total magnetization is 0.0000 μB per atom. The calculation puts the formation enthalpy at 0 K at -1.033 eV/atom. For the offset from the most stable computed form, the calculation gives 20 meV per atom.

a = 3.5475 Å, b = 3.5475 Å, c = 7.0773 Å
α = 90.00°, β = 90.00°, γ = 90.00°
Last column: nearest neighbours and their distance in Å.
Space group P4/mmm (No. 123)
Unique sites:
Ca  0.0000  0.0000  0.0000 x1  8 Pt 3.11
Pm  0.0000  0.0000  0.5000 x1  8 Pt 3.03
Pt  0.5000  0.5000  0.2588 x2  4 Pm 3.03, 4 Ca 3.11



# 12
Computed, not measured: crystalline CaPmPt at its relaxed geometry at the PBE level of DFT.

Its total magnetization is 0.0000 μB per atom. The calculation puts the formation enthalpy at 0 K at -0.767 eV/atom. For the offset from the most stable computed form, the calculation gives 5 meV per atom.

a = 8.6382 Å, b = 4.9594 Å, c = 8.6185 Å
α = 90.00°, β = 109.26°, γ = 90.00°
Last column: nearest neighbours and their distance in Å.
Space group C2/m (No. 12)
Unique sites:
Ca  0.1273  0.0000  0.3817 x4  4 Pt 3.11-3.14, 3 Ca 3.46
Pm  0.1227  0.5000  0.8696 x4  4 Pt 2.95-3.00
Pt  0.2444  0.5000  0.2326 x4  4 Pm 2.95-3.00, 4 Ca 3.11-3.14



# 13
Computed, not measured: crystalline CaPm5Pt2 at its relaxed geometry at the PBE level of DFT.

Its total magnetization is 0.0000 μB per atom. The calculation puts the formation enthalpy at 0 K at -0.537 eV/atom.

a = 4.6060 Å, b = 7.8021 Å, c = 14.2084 Å
α = 90.00°, β = 90.00°, γ = 90.00°
Last column: nearest neighbours and their distance in Å.
Space group Immm (No. 71)
Unique sites:
Ca  0.0000  0.0000  0.0000 x2  10 Pm 3.77-3.90
Pm  0.0000  0.2352  0.3488 x8  3 Pt 2.92-3.04
Pm  0.0000  0.5000  0.0000 x2  2 Pt 2.89
Pt  0.0000  0.5000  0.2036 x4  7 Pm 2.89-3.04



# 14
Computed, not measured: crystalline CaPm2Pt2 at its relaxed geometry at the PBE level of DFT.

Its total magnetization is 0.0000 μB per atom. The calculation puts the formation enthalpy at 0 K at -0.954 eV/atom.

a = 7.9575 Å, b = 7.9575 Å, c = 4.0082 Å
α = 90.00°, β = 90.00°, γ = 90.00°
Last column: nearest neighbours and their distance in Å.
Space group P4/mbm (No. 127)
Unique sites:
Ca  0.0000  0.0000  0.0000 x2  4 Pt 3.09
Pm  0.1594  0.3406  0.5000 x4  6 Pt 3.05-3.10
Pt  0.1368  0.6368  0.0000 x4  6 Pm 3.05-3.10, 1 Pt 3.08, 2 Ca 3.09



# 15
Computed, not measured: crystalline CaPm3Pt at its relaxed geometry at the PBE level of DFT.

Its total magnetization is 0.1460 μB per atom. The calculation puts the formation enthalpy at 0 K at -0.328 eV/atom. For the offset from the most stable computed form, the calculation gives 20 meV per atom.

a = 5.6749 Å, b = 5.6749 Å, c = 5.6749 Å
α = 90.00°, β = 90.00°, γ = 90.00°
Last column: nearest neighbours and their distance in Å.
Space group Pm-3m (No. 221)
Unique sites:
Ca  0.0000  0.0000  0.0000 x1  12 Pm 4.01
Pm  0.0000  0.5000  0.5000 x3  2 Pt 2.84
Pt  0.5000  0.5000  0.5000 x1  6 Pm 2.84



# 16
Computed, not measured: crystalline CaPmPt at its relaxed geometry at the PBE level of DFT.

Its total magnetization is 0.0000 μB per atom. The calculation puts the formation enthalpy at 0 K at -0.685 eV/atom. For the offset from the most stable computed form, the calculation gives 87 meV per atom.

a = 4.1829 Å, b = 4.1829 Å, c = 6.5528 Å
α = 90.00°, β = 90.00°, γ = 120.00°
Last column: nearest neighbours and their distance in Å.
Space group P3m1 (No. 156)
Unique sites:
Ca  0.0000  0.0000  0.0000 x1  3 Pt 2.92
Pm  0.6667  0.3333  0.5276 x1  3 Pt 2.82
Pt  0.3333  0.6667  0.7501 x1  3 Pm 2.82, 3 Ca 2.92



# 17
Computed, not measured: crystalline CaPm3Pt at its relaxed geometry at the PBE level of DFT.

Its total magnetization is 0.2004 μB per atom. The calculation puts the formation enthalpy at 0 K at -0.348 eV/atom. For the offset from the most stable computed form, the calculation gives 0 meV per atom.

a = 7.8616 Å, b = 7.8616 Å, c = 6.4212 Å
α = 90.00°, β = 90.00°, γ = 120.00°
Last column: nearest neighbours and their distance in Å.
Space group P6_3/mmc (No. 194)
Unique sites:
Ca  0.3333  0.6667  0.2500 x2  12 Pm 3.87-3.93
Pm  0.1750  0.3501  0.7500 x6  2 Pt 2.87
Pt  0.0000  0.0000  0.0000 x2  6 Pm 2.87, 2 Pt 3.21



# 18
Computed, not measured: crystalline CaPmPt at its relaxed geometry at the PBE level of DFT.

Its total magnetization is 0.0000 μB per atom. The calculation puts the formation enthalpy at 0 K at -0.744 eV/atom. For the offset from the most stable computed form, the calculation gives 29 meV per atom.

a = 7.0110 Å, b = 7.0110 Å, c = 7.0110 Å
α = 90.00°, β = 90.00°, γ = 90.00°
Last column: nearest neighbours and their distance in Å.
Space group F-43m (No. 216)
Unique sites:
Ca  0.0000  0.0000  0.0000 x4  4 Pt 3.04
Pm  0.0000  0.0000  0.5000 x4  4 Pt 3.04
Pt  0.2500  0.2500  0.7500 x4  4 Pm 3.04, 4 Ca 3.04



# 19
Computed, not measured: crystalline Ca3PmPt2 at its relaxed geometry at the PBE level of DFT.

Its total magnetization is 0.0000 μB per atom. The calculation puts the formation enthalpy at 0 K at -0.684 eV/atom. For the offset from the most stable computed form, the calculation gives 90 meV per atom.

a = 6.9818 Å, b = 14.0541 Å, c = 7.2925 Å
α = 90.00°, β = 90.00°, γ = 90.00°
Last column: nearest neighbours and their distance in Å.
Space group Ibam (No. 72)
Unique sites:
Ca  0.0000  0.0000  0.2500 x4  4 Pt 3.05
Ca  0.0000  0.2627  0.2500 x8  4 Pt 2.96-3.03
Pm  0.0000  0.5000  0.0000 x4  2 Pt 2.76
Pt  0.2172  0.1370  0.0000 x8  1 Pm 2.76, 6 Ca 2.96-3.05



# 20
Computed, not measured: crystalline CaPmPt at its relaxed geometry at the PBE level of DFT.

Its total magnetization is 0.0000 μB per atom. The calculation puts the formation enthalpy at 0 K at -0.633 eV/atom. For the offset from the most stable computed form, the calculation gives 140 meV per atom.

a = 3.7755 Å, b = 15.7872 Å, c = 5.3542 Å
α = 90.00°, β = 90.00°, γ = 90.00°
Last column: nearest neighbours and their distance in Å.
Space group Cmcm (No. 63)
Unique sites:
Ca  0.0000  0.0667  0.2500 x4  6 Pt 3.02-3.29
Pm  0.0000  0.2169  0.7500 x4  2 Pt 2.84
Pt  0.0000  0.4177  0.2500 x4  2 Pm 2.84, 2 Ca 3.02